[1]
Computed, not measured: crystalline BaPuGe at its relaxed geometry at the PBE level of DFT.

Geometry as POSCAR:
```
BaPuGe
1.0
3.9442 0.0000 0.0000
1.9721 3.4157 0.0000
1.9721 1.1386 13.4029
Pu Ba Ge
2 2 2
direct
0.3223 0.3223 0.0330 Pu
0.6777 0.6777 0.9670 Pu
0.1131 0.1131 0.6607 Ba
0.8869 0.8869 0.3393 Ba
0.3908 0.3908 0.8275 Ge
0.6092 0.6092 0.1725 Ge
```

## Properties
- space group = R-3m (166)
- formation enthalpy at 0 K (meV/atom) = -69
- calculated total energy (eV per atom) = -7.026


[2]
Computed, not measured: crystalline Tl2Pd12Pb5 at its relaxed geometry at the PBE level of DFT.

Geometry as POSCAR:
```
Tl2Pd12Pb5
1.0
-3.0492 -3.4481 -6.0211
7.9436 0.9513 0.2024
0.4311 -6.5337 3.5234
Tl Pd Pb
2 12 5
direct
0.7828 0.0000 0.0000 Tl
0.2172 0.0000 0.0000 Tl
0.1155 0.2309 0.2316 Pd
0.1259 0.6289 0.8688 Pd
0.5029 0.6289 0.8688 Pd
0.1987 0.7809 0.4962 Pd
0.5822 0.7809 0.4962 Pd
0.4902 0.9805 0.7587 Pd
0.5098 0.0195 0.2413 Pd
0.8013 0.2191 0.5038 Pd
0.4178 0.2191 0.5038 Pd
0.8741 0.3711 0.1312 Pd
0.4971 0.3711 0.1312 Pd
0.8845 0.7691 0.7684 Pd
0.2245 0.4490 0.5979 Pb
0.3128 0.6256 0.1860 Pb
0.0000 0.0000 0.5000 Pb
0.6872 0.3744 0.8140 Pb
0.7755 0.5510 0.4021 Pb
```

## Properties
- space group = C2/m (12)
- formation enthalpy at 0 K (meV/atom) = -104
- calculated total energy (eV per atom) = -4.609


[3]
Computed, not measured: crystalline Pa2GaRh6 at its relaxed geometry at the PBE level of DFT.

Geometry as POSCAR:
```
Pa2GaRh6
1.0
5.3121 0.0000 0.0000
0.0000 5.3121 0.0000
0.0000 0.0000 12.8409
Pa Ga Rh
4 2 12
direct
0.0000 0.0000 0.2395 Pa
0.5000 0.5000 0.7395 Pa
0.5000 0.5000 0.2605 Pa
0.0000 0.0000 0.7605 Pa
0.0000 0.0000 0.0000 Ga
0.5000 0.5000 0.5000 Ga
0.2312 0.2312 0.3837 Rh
0.7688 0.7688 0.3837 Rh
0.2688 0.7312 0.8837 Rh
0.7312 0.2688 0.8837 Rh
0.2688 0.7312 0.1163 Rh
0.7312 0.2688 0.1163 Rh
0.2312 0.2312 0.6163 Rh
0.7688 0.7688 0.6163 Rh
0.3071 0.3071 0.0000 Rh
0.6929 0.6929 0.0000 Rh
0.1929 0.8071 0.5000 Rh
0.8071 0.1929 0.5000 Rh
```

## Properties
- space group = P4_2/mnm (136)
- formation enthalpy at 0 K (meV/atom) = -93
- calculated total energy (eV per atom) = -7.440


[4]
Computed, not measured: crystalline MoSeCl at its relaxed geometry at the PBE level of DFT.

Geometry as POSCAR:
```
MoSeCl
1.0
8.3421 0.0330 -0.0194
7.2589 3.2361 -0.0678
1.0832 -1.5972 2.7768
Cl Mo Se
1 1 1
direct
0.9551 0.9551 0.0449 Cl
0.3318 0.3318 0.6682 Mo
0.7131 0.7131 0.2869 Se
```

## Properties
- space group = Fmm2 (42)
- formation energy (no corrections) (meV/atom) = -20
- calculated total energy (eV per atom) = -5.407


[5]
Computed, not measured: crystalline OsAuNF2 at its relaxed geometry at the PBE level of DFT.

Geometry as POSCAR:
```
OsAuNF2
1.0
4.5738 0.0000 0.0000
0.0000 4.5738 0.0000
0.0000 0.0000 3.8164
Os N Au F
1 1 1 2
direct
0.5000 0.5000 0.5000 Os
0.0000 0.0000 0.5000 N
0.0000 0.0000 0.0000 Au
0.0000 0.5000 0.0000 F
0.5000 0.0000 0.0000 F
```

## Properties
- space group = P4/mmm (123)
- formation energy (no corrections) (meV/atom) = 1339
- calculated total energy (eV per atom) = -3.976


[6]
Computed, not measured: crystalline Tb2Nd3Tl4 at its relaxed geometry at the PBE level of DFT.

Geometry as POSCAR:
```
Tb2Nd3Tl4
1.0
7.3916 0.0000 0.0000
0.0000 9.9273 0.0000
-3.6958 0.0000 7.8339
Tb Nd Tl
4 6 8
direct
0.1049 0.5530 0.2099 Tb
0.8951 0.4470 0.7901 Tb
0.3951 0.0530 0.7901 Tb
0.6049 0.9470 0.2099 Tb
0.0000 0.0000 0.0000 Nd
0.5000 0.5000 0.0000 Nd
0.5330 0.7500 0.5661 Nd
0.9670 0.2500 0.4339 Nd
0.4670 0.2500 0.4339 Nd
0.0330 0.7500 0.5661 Nd
0.7419 0.7500 0.9838 Tl
0.7581 0.2500 0.0162 Tl
0.2581 0.2500 0.0162 Tl
0.2419 0.7500 0.9838 Tl
0.1972 0.9768 0.3944 Tl
0.8028 0.0232 0.6056 Tl
0.3028 0.4768 0.6056 Tl
0.6972 0.5232 0.3944 Tl
```

## Properties
- space group = Cmce (64)
- formation enthalpy at 0 K (meV/atom) = -192
- calculated total energy (eV per atom) = -3.861


[7]
Computed, not measured: crystalline ScCoPS2 at its relaxed geometry at the PBE level of DFT.

Geometry as POSCAR:
```
ScCoPS2
1.0
4.6165 0.0000 0.0000
0.0000 4.6165 0.0000
0.0000 0.0000 4.0986
Sc P S Co
1 1 2 1
direct
0.5000 0.5000 0.5000 Sc
0.0000 0.0000 0.5000 P
0.0000 0.5000 0.0000 S
0.5000 0.0000 0.0000 S
0.0000 0.0000 0.0000 Co
```

## Properties
- space group = P4/mmm (123)
- formation energy (no corrections) (meV/atom) = -251
- calculated total energy (eV per atom) = -5.671


[8]
Computed, not measured: crystalline Pa2TlIn at its relaxed geometry at the PBE level of DFT.

Geometry as POSCAR:
```
Pa2TlIn
1.0
4.3846 0.0000 0.0000
2.1923 3.7972 0.0000
2.1923 1.2657 7.2519
Tl Pa In
1 2 1
direct
0.0000 0.0000 0.0000 Tl
0.2499 0.2499 0.2504 Pa
0.7501 0.7501 0.7496 Pa
0.5000 0.5000 0.5000 In
```

## Properties
- space group = R-3m (166)
- formation enthalpy at 0 K (meV/atom) = 624
- calculated total energy (eV per atom) = -5.400


[9]
Computed, not measured: crystalline Na3Np3CdS8 at its relaxed geometry at the PBE level of DFT.

Geometry as POSCAR:
```
Na3Np3CdS8
1.0
-4.1486 -5.3153 -4.1479
7.7606 -1.0519 1.1402
-5.0770 -0.9093 6.2431
Na Np Cd S
3 3 1 8
direct
0.0000 0.0000 0.0000 Na
0.0000 0.5000 0.0000 Na
0.5000 0.5000 0.0000 Na
0.5000 0.0000 0.5000 Np
0.5000 0.5000 0.5000 Np
0.0000 0.5000 0.5000 Np
0.0000 0.0000 0.5000 Cd
0.2577 0.5154 0.2736 S
0.7423 0.4846 0.7264 S
0.7554 0.5108 0.2777 S
0.2446 0.4892 0.7223 S
0.7550 0.0221 0.2774 S
0.2450 0.9779 0.7226 S
0.2671 0.0221 0.2774 S
0.7329 0.9779 0.7226 S
```

## Properties
- space group = R-3m (166)
- formation energy (no corrections) (meV/atom) = -1200
- calculated total energy (eV per atom) = -6.314


[10]
Computed, not measured: crystalline Be2Pb at its relaxed geometry at the PBE level of DFT.

Geometry as POSCAR:
```
Be2Pb
1.0
-3.7447 3.0656 0.9147
0.7285 -3.9266 2.8825
2.8894 2.6644 2.8991
Be Pb
4 2
direct
0.0000 0.0000 0.0000 Be
0.0000 0.0000 0.5000 Be
0.3333 0.6667 0.2500 Be
0.6667 0.3333 0.7500 Be
0.6667 0.3333 0.2500 Pb
0.3333 0.6667 0.7500 Pb
```

## Properties
- space group = P6_3/mmc (194)
- formation enthalpy at 0 K (meV/atom) = 925
- calculated total energy (eV per atom) = -2.796


[11]
Computed, not measured: crystalline La2TmSn at its relaxed geometry at the PBE level of DFT.

Geometry as POSCAR:
```
La2TmSn
1.0
5.9735 0.0000 3.2879
2.5553 6.0163 2.4278
0.0575 -0.3062 6.9658
La Tm Sn
4 2 2
direct
0.2024 0.2976 0.7976 La
0.2976 0.7024 0.2024 La
0.7976 0.7024 0.2024 La
0.7024 0.2976 0.7976 La
0.7500 0.1833 0.3167 Tm
0.2500 0.8167 0.6833 Tm
0.2500 0.2006 0.2994 Sn
0.7500 0.7994 0.7006 Sn
```

## Properties
- space group = Imma (74)
- formation enthalpy at 0 K (meV/atom) = -433
- calculated total energy (eV per atom) = -5.016


[12]
Computed, not measured: crystalline LiTa2AuN at its relaxed geometry at the PBE level of DFT.

Geometry as POSCAR:
```
LiTa2AuN
1.0
4.2090 0.0000 0.0000
0.0000 4.2090 0.0000
0.0000 0.0000 4.0512
N Au Li Ta
1 1 1 2
direct
0.0000 0.0000 0.0000 N
0.5000 0.5000 0.5000 Au
0.0000 0.0000 0.5000 Li
0.0000 0.5000 0.0000 Ta
0.5000 0.0000 0.0000 Ta
```

## Properties
- space group = P4/mmm (123)
- formation energy (no corrections) (meV/atom) = -494
- calculated total energy (eV per atom) = -7.938


[13]
Computed, not measured: crystalline K2MgSe at its relaxed geometry at the PBE level of DFT.

Geometry as POSCAR:
```
K2MgSe
1.0
0.0000 4.0884 4.0884
4.0884 0.0000 4.0884
4.0884 4.0884 0.0000
K Mg Se
2 1 1
direct
0.2500 0.2500 0.2500 K
0.7500 0.7500 0.7500 K
0.0000 0.0000 0.0000 Mg
0.5000 0.5000 0.5000 Se
```

## Properties
- space group = Fm-3m (225)
- formation energy (no corrections) (meV/atom) = -443
- calculated total energy (eV per atom) = -2.262


[14]
Computed, not measured: crystalline Sr2MnHg at its relaxed geometry at the PBE level of DFT.

Geometry as POSCAR:
```
Sr2MnHg
1.0
-3.0299 5.6900 1.7259
-5.8951 2.9240 1.1105
-1.3885 0.2634 5.2807
Hg Mn Sr
1 1 2
direct
0.5355 0.5355 0.4659 Hg
0.2031 0.2031 0.2956 Mn
0.9857 0.9857 0.0151 Sr
0.7756 0.7756 0.7234 Sr
```

## Properties
- space group = Cm (8)
- formation enthalpy at 0 K (meV/atom) = 92
- calculated total energy (eV per atom) = -3.116


[15]
Computed, not measured: crystalline LiZr2Al at its relaxed geometry at the PBE level of DFT.

Geometry as POSCAR:
```
LiZr2Al
1.0
4.8800 0.0000 0.0000
2.4400 4.2262 0.0000
2.4400 1.4087 3.9845
Al Li Zr
1 1 2
direct
0.5000 0.5000 0.5000 Al
0.7500 0.7500 0.7500 Li
0.0000 0.0000 0.0000 Zr
0.2500 0.2500 0.2500 Zr
```

## Properties
- space group = F-43m (216)
- formation enthalpy at 0 K (meV/atom) = 175
- calculated total energy (eV per atom) = -5.513


[16]
Computed, not measured: crystalline CoPd2Pt at its relaxed geometry at the PBE level of DFT.

Geometry as POSCAR:
```
CoPd2Pt
1.0
2.7514 0.0000 0.0000
1.3757 2.3828 0.0000
1.3757 0.7943 8.8734
Co Pd Pt
1 2 1
direct
0.4998 0.4998 0.5006 Co
0.0894 0.0894 0.7318 Pd
0.2439 0.2439 0.2682 Pd
0.6669 0.6669 0.9994 Pt
```

## Properties
- space group = R3m (160)
- formation enthalpy at 0 K (meV/atom) = 12
- calculated total energy (eV per atom) = -5.871


[17]
Computed, not measured: crystalline YTl at its relaxed geometry at the PBE level of DFT.

Geometry as POSCAR:
```
YTl
1.0
5.2401 -0.0138 -0.0088
3.8824 3.5194 -0.0088
3.8824 1.4919 3.1876
Y Tl
1 1
direct
0.5000 0.5000 0.5000 Y
0.0000 0.0000 0.0000 Tl
```

## Properties
- space group = R-3m (166)
- formation enthalpy at 0 K (meV/atom) = -290
- calculated total energy (eV per atom) = -4.705


[18]
Computed, not measured: crystalline NiAsSe2 at its relaxed geometry at the PBE level of DFT.

Geometry as POSCAR:
```
NiAsSe2
1.0
-2.9565 2.2259 -0.1625
-1.8609 0.3646 -3.1821
-5.2510 -3.8034 0.4393
As Ni Se
1 1 2
direct
0.7500 0.7500 0.7500 As
0.2500 0.2500 0.2500 Ni
0.9888 0.9888 0.0338 Se
0.5112 0.5112 0.4662 Se
```

## Properties
- space group = C2/m (12)
- formation energy (no corrections) (meV/atom) = -17
- calculated total energy (eV per atom) = -4.367


[19]
Computed, not measured: crystalline HoMn5Ge3 at its relaxed geometry at the PBE level of DFT.

Geometry as POSCAR:
```
HoMn5Ge3
1.0
-3.5833 1.3516 0.3764
0.1001 -5.9470 2.6366
2.7724 4.5324 10.1178
Ho Mn Ge
2 10 6
direct
0.8297 0.6595 0.7500 Ho
0.1703 0.3405 0.2500 Ho
0.8079 0.6157 0.4489 Mn
0.1921 0.3843 0.9489 Mn
0.0000 0.0000 0.5000 Mn
0.0000 0.0000 0.0000 Mn
0.4359 0.8717 0.1428 Mn
0.5641 0.1283 0.8572 Mn
0.5641 0.1283 0.6428 Mn
0.8079 0.6157 0.0511 Mn
0.1921 0.3843 0.5511 Mn
0.4359 0.8717 0.3572 Mn
0.3827 0.7654 0.9347 Ge
0.8689 0.7378 0.2500 Ge
0.3827 0.7654 0.5653 Ge
0.6173 0.2346 0.4347 Ge
0.1311 0.2622 0.7500 Ge
0.6173 0.2346 0.0653 Ge
```

## Properties
- space group = Cmcm (63)
- formation enthalpy at 0 K (meV/atom) = -185
- calculated total energy (eV per atom) = -7.327


[20]
Computed, not measured: crystalline TiPd2Au3 at its relaxed geometry at the PBE level of DFT.

Geometry as POSCAR:
```
TiPd2Au3
1.0
3.9331 0.0000 0.0000
0.0000 5.7305 0.8150
0.0000 -1.4290 8.6323
Ti Pd Au
2 4 6
direct
0.2500 0.8757 0.2542 Ti
0.7500 0.1243 0.7458 Ti
0.2500 0.3652 0.9044 Pd
0.7500 0.6348 0.0956 Pd
0.7500 0.1111 0.4129 Pd
0.2500 0.8889 0.5871 Pd
0.7500 0.1227 0.0826 Au
0.2500 0.8773 0.9174 Au
0.7500 0.6279 0.7534 Au
0.2500 0.3721 0.2466 Au
0.2500 0.3702 0.5870 Au
0.7500 0.6298 0.4130 Au
```

## Properties
- space group = P2_1/m (11)
- formation enthalpy at 0 K (meV/atom) = -339
- calculated total energy (eV per atom) = -5.024